Below is crystalline Zr2NpO8 at its relaxed geometry, with properties calculated at the GGA-PBE level.

## Properties
Size of the total moment = 1.0 μB/f.u.
Uncorrected energy = -8.9527 eV/atom
Space group = No. 12

a = 3.5988 Å, b = 7.7132 Å, c = 5.7511 Å
α = 99.55°, β = 90.00°, γ = 103.49°
Last column: nearest neighbours and their distance in Å.
Fractional coordinates of all 11 atoms:
O: 0.5364 0.0729 0.7206  1 Np 1.78
O: 0.6859 0.3719 0.0147  3 Zr 2.17-2.24
O: 0.2089 0.4178 0.6017  3 Zr 2.12-2.18
O: 0.4636 0.9271 0.2794  1 Np 1.78
O: 0.0784 0.1568 0.1414  1 Zr 2.15, 2 Np 2.23
O: 0.3141 0.6281 0.9853  3 Zr 2.17-2.24
O: 0.9216 0.8432 0.8586  1 Zr 2.15, 2 Np 2.23
O: 0.7911 0.5822 0.3983  3 Zr 2.12-2.18
Zr: 0.2234 0.4467 0.2416  7 O 2.12-2.24
Zr: 0.7766 0.5533 0.7584  7 O 2.12-2.24
Np: 0.5000 0.0000 0.0000  2 O 1.78